This record from the Alexandria database describes a relaxed structure of YCrF. The functional is GGA+U.

abc: 3.449 3.449 16.613
angles: 90.00 90.00 90.00
Element x y z (fractional)
1 Cr 0.000 0.000 0.231
2 Cr 0.500 0.500 0.731
3 Cr 0.000 0.000 0.769
4 Cr 0.500 0.500 0.269
5 Y 0.000 0.000 0.601
6 Y 0.500 0.500 0.899
7 Y 0.500 0.500 0.101
8 Y 0.000 0.000 0.399
9 F 0.500 0.000 0.000
10 F 0.000 0.500 0.500
11 F 0.000 0.500 0.000
12 F 0.500 0.000 0.500

Properties
E_tot: -6.02 eV per atom
energy relative to the lowest polymorph listed for this composition: 714 meV/atom
total magnetization: 0.0 μB per formula unit
space-group type: I4/mmm (139)